A geometry-optimized LiAlRu structure. Source: Alexandria, functional PBE-GGA.

a = 2.8590 Å, b = 4.1677 Å, c = 7.0816 Å
α = 90.00°, β = 90.00°, γ = 90.00°
Closest atoms and distances in Å follow each position.
Sites, in units of the cell vectors:
Li: 0.2500 0.2500 0.0323  6 Li 2.57-2.86, 2 Ru 2.68, 4 Al 2.74-2.81
Li: 0.7500 0.7500 0.9677  6 Li 2.57-2.86, 2 Ru 2.68, 4 Al 2.74-2.81
Al: 0.2500 0.7500 0.2978  5 Ru 2.47-2.56, 2 Li 2.74
Al: 0.7500 0.2500 0.7022  5 Ru 2.47-2.56, 2 Li 2.74
Ru: 0.2500 0.7500 0.6468  5 Al 2.47-2.56, 2 Li 2.68
Ru: 0.7500 0.2500 0.3532  5 Al 2.47-2.56, 2 Li 2.68

**SG**: No. 59
**Energy of formation from the pure elements**: -0.23 eV/atom
**Total DFT energy (no corrections)**: -5.207 eV/atom

A geometry-optimized TmMgTlAg structure. Source: Alexandria, functional PBE-GGA.

a = 7.1204 Å, b = 7.1204 Å, c = 7.1204 Å
α = 90.00°, β = 90.00°, γ = 90.00°
Closest atoms and distances in Å follow each position.
Sites, in units of the cell vectors:
Tm: 0.0000 0.0000 0.0000  4 Tl 3.08, 4 Ag 3.08
Tm: 0.0000 0.5000 0.5000  4 Tl 3.08, 4 Ag 3.08
Tm: 0.5000 0.0000 0.5000  4 Tl 3.08, 4 Ag 3.08
Tm: 0.5000 0.5000 0.0000  4 Tl 3.08, 4 Ag 3.08
Mg: 0.0000 0.0000 0.5000  4 Tl 3.08, 4 Ag 3.08
Mg: 0.0000 0.5000 0.0000  4 Tl 3.08, 4 Ag 3.08
Mg: 0.5000 0.0000 0.0000  4 Tl 3.08, 4 Ag 3.08
Mg: 0.5000 0.5000 0.5000  4 Tl 3.08, 4 Ag 3.08
Tl: 0.2500 0.2500 0.7500  4 Mg 3.08, 4 Tm 3.08
Tl: 0.2500 0.7500 0.2500  4 Mg 3.08, 4 Tm 3.08
Tl: 0.7500 0.2500 0.2500  4 Mg 3.08, 4 Tm 3.08
Tl: 0.7500 0.7500 0.7500  4 Mg 3.08, 4 Tm 3.08
Ag: 0.2500 0.2500 0.2500  4 Mg 3.08, 4 Tm 3.08
Ag: 0.2500 0.7500 0.7500  4 Mg 3.08, 4 Tm 3.08
Ag: 0.7500 0.2500 0.7500  4 Mg 3.08, 4 Tm 3.08
Ag: 0.7500 0.7500 0.2500  4 Mg 3.08, 4 Tm 3.08

**SG**: No. 216
**Energy of formation from the pure elements**: -0.27 eV/atom
**Total DFT energy (no corrections)**: -3.092 eV/atom

A geometry-optimized Ba2DyIr3O12 structure. Source: Alexandria, functional PBE-GGA.

a = 7.0151 Å, b = 7.0151 Å, c = 7.0151 Å
α = 62.74°, β = 62.74°, γ = 62.74°
Closest atoms and distances in Å follow each position.
Sites, in units of the cell vectors:
Ba: 0.1136 0.1136 0.1136  6 O 2.74-3.06
Ba: 0.8864 0.8864 0.8864  6 O 2.74-3.06
Dy: 0.5000 0.5000 0.5000  6 O 2.31
Ir: 0.0000 0.5000 0.5000  6 O 1.91-1.97
Ir: 0.5000 0.0000 0.5000  6 O 1.91-1.97
Ir: 0.5000 0.5000 0.0000  6 O 1.91-1.97
O: 0.1096 0.6156 0.6156  1 Ir 1.91
O: 0.1954 0.1954 0.6183  2 Ir 1.97
O: 0.1954 0.6183 0.1954  2 Ir 1.97
O: 0.3817 0.8046 0.8046  2 Ir 1.97
O: 0.3844 0.3844 0.8904  1 Ir 1.91
O: 0.3844 0.8904 0.3844  1 Ir 1.91
O: 0.6156 0.1096 0.6156  1 Ir 1.91
O: 0.6156 0.6156 0.1096  1 Ir 1.91
O: 0.6183 0.1954 0.1954  2 Ir 1.97
O: 0.8046 0.3817 0.8046  2 Ir 1.97
O: 0.8046 0.8046 0.3817  2 Ir 1.97
O: 0.8904 0.3844 0.3844  1 Ir 1.91

**Uncorrected formation energy**: -1.5366 eV/atom
**SG**: No. 166
**Total DFT energy (no corrections)**: -6.788 eV/atom

D(E_F) values, unit states/eV per atom, following the record order: 0.422; 0.609; 0.720.